TmOsS | PBE | optimized geometry

Computed properties:
DFT total energy   -6.8266 eV/atom
Raw formation energy   -0.7 eV/f.u.
Total moment   0.00 Bohr magnetons per cell
Crystal system   orthorhombic

Lattice parameters (Å, degrees): 3.633 3.623 10.248 90.00 90.00 120.09
Atoms (fractional coordinates):
S1 0.582 0.163 0.355
S2 0.582 0.163 0.645
Tm1 0.242 0.484 0.813
Tm2 0.242 0.484 0.187
Os1 0.114 0.228 0.500
Os2 0.905 0.811 0.000

---

Tm7OsS5 | PBE | optimized geometry

Computed properties:
DFT total energy   -6.4258 eV/atom
Raw formation energy   -20.4 eV/f.u.
Total moment   0.00 Bohr magnetons per cell
Crystal system   orthorhombic

Lattice parameters (Å, degrees): 3.789 6.630 23.279 90.00 90.00 106.61
Atoms (fractional coordinates):
Tm1 0.354 0.707 0.537
Tm2 0.536 0.071 0.748
Tm3 0.370 0.740 0.966
Tm4 0.631 0.261 0.466
Tm5 0.187 0.374 0.320
Tm6 0.918 0.835 0.111
Tm7 0.893 0.786 0.376
Tm8 0.108 0.215 0.876
Tm9 0.814 0.627 0.820
Tm10 0.206 0.413 0.180
Tm11 0.083 0.166 0.611
Tm12 0.647 0.294 0.037
Tm13 0.794 0.588 0.680
Tm14 0.465 0.930 0.248
S1 0.010 0.020 0.999
S2 0.441 0.882 0.641
S3 0.559 0.119 0.141
S4 0.284 0.568 0.071
S5 0.732 0.465 0.930
S6 0.457 0.915 0.862
S7 0.717 0.434 0.571
S8 0.268 0.536 0.430
S9 0.543 0.086 0.362
S10 0.990 0.981 0.499
Os1 0.808 0.616 0.259
Os2 0.193 0.385 0.759

---

UOsS | PBE | optimized geometry

Computed properties:
DFT total energy   -9.2555 eV/atom
Raw formation energy   -1.1 eV/f.u.
Total moment   0.00 Bohr magnetons per cell
Crystal system   tetragonal

Lattice parameters (Å, degrees): 3.170 3.170 11.651 90.00 90.00 90.00
Atoms (fractional coordinates):
Os1 0.000 0.500 0.570
Os2 0.500 0.000 0.430
U1 0.500 0.000 0.732
U2 0.000 0.500 0.268
S1 0.500 0.000 0.135
S2 0.000 0.500 0.865

---

U2OsS | PBE | optimized geometry

Computed properties:
DFT total energy   -10.0430 eV/atom
Raw formation energy   -2.2 eV/f.u.
Total moment   4.08 Bohr magnetons per cell
Crystal system   trigonal

Lattice parameters (Å, degrees): 3.877 3.877 7.012 73.95 73.95 60.00
Atoms (fractional coordinates):
Os1 0.000 0.000 0.000
S1 0.500 0.500 0.500
U1 0.747 0.747 0.760
U2 0.253 0.253 0.240

---

VOsS3 | PBE | optimized geometry

Computed properties:
DFT total energy   -5.8490 eV/atom
Raw formation energy   3.5 eV/f.u.
Total moment   2.15 Bohr magnetons per cell
Crystal system   cubic

Lattice parameters (Å, degrees): 4.618 4.618 4.618 90.00 90.00 90.00
Atoms (fractional coordinates):
V1 0.500 0.500 0.500
S1 0.000 0.500 0.000
S2 0.500 0.000 0.000
S3 0.000 0.000 0.500
Os1 0.000 0.000 0.000

---

VOsS2 | PBE | optimized geometry

Computed properties:
DFT total energy   -7.4738 eV/atom
Raw formation energy   -1.3 eV/f.u.
Total moment   0.00 Bohr magnetons per cell
Crystal system   trigonal

Lattice parameters (Å, degrees): 7.869 7.869 7.869 21.58 21.58 21.58
Atoms (fractional coordinates):
V1 0.500 0.500 0.500
S1 0.098 0.098 0.098
S2 0.902 0.902 0.902
Os1 0.000 0.000 0.000

---

VOsS4 | PBE | optimized geometry

Computed properties:
DFT total energy   -6.5838 eV/atom
Raw formation energy   -2.6 eV/f.u.
Total moment   5.97 Bohr magnetons per cell
Crystal system   monoclinic

Lattice parameters (Å, degrees): 5.760 5.759 5.777 90.00 89.52 90.00
Atoms (fractional coordinates):
V1 0.500 0.000 0.500
V2 0.000 0.500 0.500
Os1 0.000 0.000 0.000
Os2 0.500 0.500 0.000
S1 0.605 0.608 0.618
S2 0.395 0.392 0.382
S3 0.895 0.108 0.382
S4 0.621 0.119 0.894
S5 0.879 0.619 0.106
S6 0.379 0.881 0.106
S7 0.121 0.381 0.894
S8 0.105 0.892 0.618

---

VOsS3 | PBE | optimized geometry

Computed properties:
DFT total energy   -5.6246 eV/atom
Raw formation energy   4.6 eV/f.u.
Total moment   3.72 Bohr magnetons per cell
Crystal system   cubic

Lattice parameters (Å, degrees): 4.506 4.506 4.506 90.00 90.00 90.00
Atoms (fractional coordinates):
S1 0.000 0.000 0.500
S2 0.500 0.000 0.000
S3 0.000 0.500 0.000
V1 0.000 0.000 0.000
Os1 0.500 0.500 0.500